Compound: KCu2Bi2
Source: Alexandria via LeMat-Bulk
Functional: PBE
Structure: optimized geometry

Cell lengths 8.4994, 8.4994, 3.4002 Å; angles 90.00, 90.00, 90.00 degrees
Last column: nearest neighbours and their distance in Å.
Space group P4/mbm (No. 127)
Symmetry-distinct sites (fractional):
K (0.0000, 0.0000, 0.0000) (multiplicity 2)  2 K 3.40, 4 Cu 3.45, 8 Bi 3.60
Cu (0.1089, 0.3911, 0.0000) (multiplicity 4)  1 Cu 2.62, 4 Bi 2.92
Bi (0.1645, 0.6645, 0.5000) (multiplicity 4)  6 Cu 2.92-3.21

Properties
The calculation puts the total energy at -3.29 eV/atom. The value obtained for the formation energy is 0.123 eV/atom. The calculation puts the density of states at the Fermi level at 0.41 states/eV/atom. Its magnetization is 0.0 μB per cell.

Compound: Sr2ZrBeNb
Source: Alexandria via LeMat-Bulk
Functional: PBE
Structure: optimized geometry

Cell lengths 6.0403, 6.0403, 4.9303 Å; angles 90.00, 90.00, 90.00 degrees
Last column: nearest neighbours and their distance in Å.
Space group P4/mmm (No. 123)
Symmetry-distinct sites (fractional):
Sr (0.0000, 0.5000, 0.0000) (multiplicity 2)  2 Nb 3.02
Zr (0.0000, 0.0000, 0.5000) (multiplicity 1)  2 Nb 2.47
Be (0.5000, 0.5000, 0.5000) (multiplicity 1)  8 Sr 3.90, 4 Zr 4.27
Nb (0.0000, 0.0000, 0.0000) (multiplicity 1)  2 Zr 2.47

Properties
The calculation puts the total energy at -3.85 eV/atom. The value obtained for the formation energy is 1.287 eV/atom. The calculation puts the density of states at the Fermi level at 1.65 states/eV/atom. Its magnetization is 0.0 μB per cell.

Compound: W2AuSe
Source: Alexandria via LeMat-Bulk
Functional: PBE
Structure: optimized geometry

Cell lengths 3.1328, 4.6434, 4.7146 Å; angles 90.00, 90.00, 90.00 degrees
Last column: nearest neighbours and their distance in Å.
Space group Pmmm (No. 47)
Symmetry-distinct sites (fractional):
W (0.0000, 0.0000, 0.0000) (multiplicity 1)  6 W 2.80-3.13, 4 Se 2.83
W (0.5000, 0.5000, 0.0000) (multiplicity 1)  6 W 2.80-3.13, 4 Au 2.83
Au (0.0000, 0.5000, 0.5000) (multiplicity 1)  4 Se 2.80, 4 W 2.83, 2 Au 3.13
Se (0.5000, 0.0000, 0.5000) (multiplicity 1)  4 Au 2.80, 4 W 2.83, 2 Se 3.13

Properties
The calculation puts the total energy at -7.40 eV/atom. The calculation puts the density of states at the Fermi level at 0.50 states/eV/atom. The formation energy without anion corrections comes out at 0.771 eV/atom. Its magnetization is 0.0 μB per cell.

Which formula does entry 2 have?
Sr2ZrBeNb